[1]
Here is SrLi2Tb2Sn2 after structural relaxation from the Alexandria database. Energies are from GGA-PBE.

abc: 9.8505 9.8505 9.8505
angles: 28.72 28.72 28.72
Positions (direct):
Sr 0.0000 0.0000 0.0000
Li 0.4174 0.4174 0.4174
Li 0.5826 0.5826 0.5826
Tb 0.1314 0.1314 0.1314
Tb 0.8686 0.8686 0.8686
Sn 0.2524 0.2524 0.2524
Sn 0.7476 0.7476 0.7476

Calculated values
symmetry = R-3m, No. 166
E_form = -46.3 kJ/mol of atoms

[2]
Here is SrLiSnTe3 after structural relaxation from the Alexandria database. Energies are from GGA-PBE.

abc: 9.2280 4.4885 9.6574
angles: 90.00 105.95 90.00
Positions (direct):
Sr 0.1958 0.2500 0.2476
Sr 0.8042 0.7500 0.7524
Li 0.0878 0.2500 0.5916
Li 0.9122 0.7500 0.4084
Sn 0.3289 0.7500 0.8518
Sn 0.6711 0.2500 0.1482
Te 0.1032 0.2500 0.8826
Te 0.2256 0.7500 0.5177
Te 0.4455 0.7500 0.1798
Te 0.5545 0.2500 0.8202
Te 0.7744 0.2500 0.4823
Te 0.8968 0.7500 0.1174

Calculated values
energy relative to the elements, uncorrected = -0.8386 eV per atom
symmetry = P2_1/m, No. 11

[3]
Here is SrLiTlSn2 after structural relaxation from the Alexandria database. Energies are from GGA-PBE.

abc: 4.7220 4.7220 13.1796
angles: 90.00 90.00 90.00
Positions (direct):
Sr 0.0000 0.0000 0.0000
Sr 0.5000 0.5000 0.5000
Li 0.0000 0.5000 0.7500
Li 0.5000 0.0000 0.2500
Tl 0.0000 0.5000 0.2500
Tl 0.5000 0.0000 0.7500
Sn 0.0000 0.0000 0.3912
Sn 0.0000 0.0000 0.6088
Sn 0.5000 0.5000 0.1088
Sn 0.5000 0.5000 0.8912

Calculated values
symmetry = I-4m2, No. 119
E_form = -34.1 kJ/mol of atoms

[4]
Here is SrLiTlSn after structural relaxation from the Alexandria database. Energies are from GGA-PBE.

abc: 4.8631 4.8631 16.9680
angles: 90.00 90.00 120.00
Positions (direct):
Sr 0.0000 0.0000 0.0000
Sr 0.3333 0.6667 0.6667
Sr 0.6667 0.3333 0.3333
Li 0.0000 0.0000 0.5156
Li 0.3333 0.6667 0.1822
Li 0.6667 0.3333 0.8489
Tl 0.0000 0.0000 0.7837
Tl 0.3333 0.6667 0.4503
Tl 0.6667 0.3333 0.1170
Sn 0.0000 0.0000 0.2132
Sn 0.3333 0.6667 0.8798
Sn 0.6667 0.3333 0.5465

Calculated values
energy above the lowest structure with this stoichiometry = 0 meV per atom
symmetry = R3m, No. 160
E_form = -43.6 kJ/mol of atoms

[5]
Here is Sr2Li4TlSn3 after structural relaxation from the Alexandria database. Energies are from GGA-PBE.

abc: 4.7493 4.7493 11.2789
angles: 90.00 90.00 90.00
Positions (direct):
Sr 0.0000 0.5000 0.2346
Sr 0.5000 0.0000 0.7654
Li 0.0000 0.0000 0.0000
Li 0.0000 0.5000 0.6379
Li 0.5000 0.0000 0.3621
Li 0.5000 0.5000 0.0000
Tl 0.0000 0.0000 0.5000
Sn 0.0000 0.5000 0.8767
Sn 0.5000 0.0000 0.1233
Sn 0.5000 0.5000 0.5000

Calculated values
symmetry = P-4m2, No. 115
E_form = -36.9 kJ/mol of atoms

[6]
Here is SrLiTlSn after structural relaxation from the Alexandria database. Energies are from GGA-PBE.

abc: 7.6873 7.6873 7.6873
angles: 90.00 90.00 90.00
Positions (direct):
Sr 0.0000 0.0000 0.0000
Sr 0.0000 0.5000 0.5000
Sr 0.5000 0.0000 0.5000
Sr 0.5000 0.5000 0.0000
Li 0.0000 0.0000 0.5000
Li 0.0000 0.5000 0.0000
Li 0.5000 0.0000 0.0000
Li 0.5000 0.5000 0.5000
Tl 0.2500 0.2500 0.7500
Tl 0.2500 0.7500 0.2500
Tl 0.7500 0.2500 0.2500
Tl 0.7500 0.7500 0.7500
Sn 0.2500 0.2500 0.2500
Sn 0.2500 0.7500 0.7500
Sn 0.7500 0.2500 0.7500
Sn 0.7500 0.7500 0.2500

Calculated values
energy above the lowest structure with this stoichiometry = 66 meV per atom
symmetry = F-43m, No. 216
E_form = -37.2 kJ/mol of atoms

[7]
Here is SrLiTmSn after structural relaxation from the Alexandria database. Energies are from GGA-PBE.

abc: 7.6593 7.6593 7.6593
angles: 90.00 90.00 90.00
Positions (direct):
Sr 0.0000 0.0000 0.0000
Sr 0.0000 0.5000 0.5000
Sr 0.5000 0.0000 0.5000
Sr 0.5000 0.5000 0.0000
Li 0.2500 0.2500 0.7500
Li 0.2500 0.7500 0.2500
Li 0.7500 0.2500 0.2500
Li 0.7500 0.7500 0.7500
Tm 0.0000 0.0000 0.5000
Tm 0.0000 0.5000 0.0000
Tm 0.5000 0.0000 0.0000
Tm 0.5000 0.5000 0.5000
Sn 0.2500 0.2500 0.2500
Sn 0.2500 0.7500 0.7500
Sn 0.7500 0.2500 0.7500
Sn 0.7500 0.7500 0.2500

Calculated values
symmetry = F-43m, No. 216
E_form = -30.5 kJ/mol of atoms

[8]
Here is SrLi2Zn2Sn2 after structural relaxation from the Alexandria database. Energies are from GGA-PBE.

abc: 9.2134 9.2134 9.2134
angles: 28.58 28.58 28.58
Positions (direct):
Sr 0.0000 0.0000 0.0000
Li 0.1412 0.1412 0.1412
Li 0.8588 0.8588 0.8588
Zn 0.4445 0.4445 0.4445
Zn 0.5555 0.5555 0.5555
Sn 0.2493 0.2493 0.2493
Sn 0.7507 0.7507 0.7507

Calculated values
symmetry = R-3m, No. 166
E_form = -40.2 kJ/mol of atoms

[9]
Here is SrLi4ZnSn2 after structural relaxation from the Alexandria database. Energies are from GGA-PBE.

abc: 9.3532 9.3532 9.3532
angles: 29.15 29.15 29.15
Positions (direct):
Sr 0.0000 0.0000 0.0000
Li 0.1342 0.1342 0.1342
Li 0.4070 0.4070 0.4070
Li 0.5930 0.5930 0.5930
Li 0.8658 0.8658 0.8658
Zn 0.5000 0.5000 0.5000
Sn 0.2451 0.2451 0.2451
Sn 0.7549 0.7549 0.7549

Calculated values
symmetry = R-3m, No. 166
E_form = -32.9 kJ/mol of atoms

[10]
Here is LiTaSn3 after structural relaxation from the Alexandria database. Energies are from GGA-PBE.

abc: 4.8412 4.8412 4.8412
angles: 90.00 90.00 90.00
Positions (direct):
Li 0.0000 0.0000 0.0000
Ta 0.5000 0.5000 0.5000
Sn 0.0000 0.0000 0.5000
Sn 0.0000 0.5000 0.0000
Sn 0.5000 0.0000 0.0000

Calculated values
symmetry = Pm-3m, No. 221
E_form = 84.1 kJ/mol of atoms

[11]
Here is Li2TaSn2 after structural relaxation from the Alexandria database. Energies are from GGA-PBE.

abc: 7.8275 7.8275 3.0854
angles: 90.00 90.00 90.00
Positions (direct):
Li 0.1314 0.3686 0.0000
Li 0.3686 0.8686 0.0000
Li 0.6314 0.1314 0.0000
Li 0.8686 0.6314 0.0000
Ta 0.0000 0.0000 0.5000
Ta 0.5000 0.5000 0.5000
Sn 0.1684 0.6684 0.5000
Sn 0.3316 0.1684 0.5000
Sn 0.6684 0.8316 0.5000
Sn 0.8316 0.3316 0.5000

Calculated values
energy above the lowest structure with this stoichiometry = 0 meV per atom
symmetry = P4/mbm, No. 127
E_form = 2.2 kJ/mol of atoms

[12]
Here is Li3TaSn after structural relaxation from the Alexandria database. Energies are from GGA-PBE.

abc: 4.6264 4.6264 4.6264
angles: 90.00 90.00 90.00
Positions (direct):
Li 0.0000 0.0000 0.5000
Li 0.0000 0.5000 0.0000
Li 0.5000 0.0000 0.0000
Ta 0.5000 0.5000 0.5000
Sn 0.0000 0.0000 0.0000

Calculated values
energy above the lowest structure with this stoichiometry = 0 meV per atom
symmetry = Pm-3m, No. 221
E_form = 101.5 kJ/mol of atoms